No. 1
First-principles (SCAN) data for a crystal of Zr5AsPb3 relaxed with PBEsol, as listed in Alexandria. Values from VASP.

## Properties
- total energy (eV per atom) = -45.300
- total moment (μB per cell) = 0.00
- ΔE_f (kJ/mol of atoms) = -71.57

```
&SYSTEM
  ibrav = 0, nat = 18, ntyp = 3
/
ATOMIC_SPECIES
Pb 207.20 Pb.upf
As 74.92 As.upf
Zr 91.22 Zr.upf
ATOMIC_POSITIONS angstrom
Pb 4.461 -1.710 2.962
Pb 4.461 3.420 0.000
Pb 4.461 2.625 4.546
Pb 1.487 -2.625 4.546
Pb 1.487 5.249 0.000
Pb 1.487 1.710 2.962
As 0.000 0.000 0.000
As 2.974 0.000 0.000
Zr 0.000 0.000 5.005
Zr 2.974 4.335 2.503
Zr 0.000 4.335 2.503
Zr 2.974 0.000 5.005
Zr 4.461 -3.214 5.567
Zr 4.461 6.428 0.000
Zr 4.461 1.121 1.942
Zr 1.487 -1.121 1.942
Zr 1.487 2.242 0.000
Zr 1.487 3.214 5.567
CELL_PARAMETERS angstrom
5.948 0.000 0.000
0.000 8.670 0.000
0.000 -4.335 7.508
```

No. 2
First-principles (SCAN) data for a crystal of IrRuSe2N relaxed with PBEsol, as listed in Alexandria. Values from VASP.

## Properties
- total energy (eV per atom) = -30.198
- formation energy without anion corrections (eV per atom) = 0.88
- total moment (μB per cell) = 1.92

```
&SYSTEM
  ibrav = 0, nat = 5, ntyp = 4
/
ATOMIC_SPECIES
Ru 101.07 Ru.upf
Ir 192.22 Ir.upf
Se 78.96 Se.upf
N 14.01 N.upf
ATOMIC_POSITIONS angstrom
Ru 2.640 -1.929 2.184
Ir 0.000 0.000 0.000
Se 2.303 0.673 0.626
Se 0.734 -2.363 -0.159
N -0.397 -0.239 1.717
CELL_PARAMETERS angstrom
-0.793 -0.477 3.434
1.467 -4.726 -0.318
4.606 1.346 1.251
```